DFT (PBE) results for ErThMn4 after structural relaxation.

Properties
Calculated volume   16.593 A^3/atom
DFT formation energy   0.07 eV per atom
Total energy   -8.043 eV/atom

Cell lengths 5.202, 5.202, 5.202 Å; angles 60.00, 60.00, 60.00 degrees
Last column: magnetic moment on the atom in μB.
Positions (direct):
Mn 0.626 0.123 0.626  1.97
Mn 0.626 0.626 0.626  1.97
Mn 0.626 0.626 0.123  1.97
Mn 0.123 0.626 0.626  1.97
Er 0.000 0.000 0.000  -0.45
Th 0.250 0.250 0.250  -0.26



DFT (PBE) results for MgTa3Al after structural relaxation.

Properties
Polymorph energy (0 for the lowest one)   0.551 eV/atom
Calculated volume   20.790 A^3/atom
DFT formation energy   1.74 eV per atom
Total energy   -6.441 eV/atom

Cell lengths 4.702, 4.702, 4.702 Å; angles 90.00, 90.00, 90.00 degrees
Positions (direct):
Ta 0.500 0.000 0.000
Mg 0.000 0.000 0.000
Al 0.500 0.500 0.500
Ta 0.000 0.000 0.500
Ta 0.000 0.500 0.000



DFT (PBE) results for Na12CdAu6 after structural relaxation.

Properties
Polymorph energy (0 for the lowest one)   0.000 eV/atom
Calculated volume   24.351 A^3/atom
DFT formation energy   -0.23 eV per atom
Total energy   -2.142 eV/atom

Cell lengths 7.737, 7.737, 7.737 Å; angles 88.52, 88.52, 88.52 degrees
Positions (direct):
Au 0.114 0.738 0.261
Au 0.739 0.886 0.262
Na 0.148 0.382 0.023
Na 0.812 0.528 0.419
Au 0.738 0.261 0.114
Au 0.261 0.114 0.738
Na 0.977 0.852 0.618
Na 0.188 0.472 0.581
Au 0.886 0.262 0.739
Na 0.618 0.977 0.852
Na 0.419 0.812 0.528
Na 0.581 0.188 0.472
Na 0.528 0.419 0.812
Na 0.023 0.148 0.382
Cd 0.000 0.000 0.000
Na 0.382 0.023 0.148
Au 0.262 0.739 0.886
Na 0.472 0.581 0.188
Na 0.852 0.618 0.977



DFT (PBE) results for LiSmCu10 after structural relaxation.

Properties
Calculated volume   14.629 A^3/atom
DFT formation energy   -0.08 eV per atom
Total energy   -4.045 eV/atom

Cell lengths 4.097, 4.973, 8.618 Å; angles 90.00, 90.00, 90.00 degrees
Positions (direct):
Cu 0.500 0.000 0.500
Li 0.000 0.500 0.500
Cu 0.500 0.752 0.749
Cu 0.000 0.000 0.344
Cu 0.500 0.752 0.251
Cu 0.500 0.248 0.749
Cu 0.500 0.500 0.000
Sm 0.000 0.000 0.000
Cu 0.500 0.248 0.251
Cu 0.000 0.500 0.815
Cu 0.000 0.500 0.185
Cu 0.000 0.000 0.656



DFT (PBE) results for Ge2AsO after structural relaxation.

Properties
Polymorph energy (0 for the lowest one)   0.354 eV/atom
Calculated volume   15.620 A^3/atom
Total energy   -4.537 eV/atom
Formation energy from raw total energies   173 meV per atom

Cell lengths 4.454, 4.454, 4.454 Å; angles 60.00, 60.00, 60.00 degrees
Positions (direct):
As 0.500 0.500 0.500
Ge 0.250 0.250 0.250
Ge 0.750 0.750 0.750
O 0.000 0.000 0.000



DFT (PBE) results for Pr3Ag4Sn4 after structural relaxation.

Properties
Polymorph energy (0 for the lowest one)   0.000 eV/atom
Calculated volume   24.997 A^3/atom
DFT formation energy   -0.56 eV per atom
Total energy   -4.351 eV/atom

Cell lengths 8.992, 8.992, 8.992 Å; angles 149.62, 131.10, 58.67 degrees
Positions (direct):
Ag 0.475 0.670 0.806
Ag 0.525 0.330 0.194
Sn 0.806 0.500 0.306
Sn 0.716 0.216 0.500
Sn 0.284 0.784 0.500
Pr 0.500 0.000 0.500
Ag 0.136 0.330 0.806
Ag 0.864 0.670 0.194
Pr 0.870 0.870 0.000
Pr 0.130 0.130 0.000
Sn 0.194 0.500 0.694



DFT (PBE) results for PSCl after structural relaxation.

Properties
Calculated volume   33.879 A^3/atom
Total energy   -4.147 eV/atom
Formation energy from raw total energies   -352 meV per atom

Cell lengths 5.596, 5.280, 7.532 Å; angles 85.67, 68.09, 79.92 degrees
Positions (direct):
P 0.258 0.705 0.693
P 0.162 0.206 0.588
S 0.445 0.301 0.685
Cl 0.355 0.145 0.296
Cl 0.064 0.765 0.984
S 0.975 0.610 0.595



DFT (PBE) results for RbPOsCl2 after structural relaxation.

Properties
Polymorph energy (0 for the lowest one)   0.000 eV/atom
Calculated volume   24.331 A^3/atom
Total energy   -4.579 eV/atom
Formation energy from raw total energies   -319 meV per atom

Cell lengths 5.214, 5.214, 4.475 Å; angles 90.00, 90.00, 90.00 degrees
Positions (direct):
P 0.000 0.000 0.500
Rb 0.500 0.500 0.500
Cl 0.500 0.000 0.000
Os 0.000 0.000 0.000
Cl 0.000 0.500 0.000



DFT (PBE) results for Nb2CoBiN after structural relaxation.

Properties
Calculated volume   24.859 A^3/atom
Total energy   -4.996 eV/atom
Formation energy from raw total energies   2894 meV per atom

Cell lengths 5.237, 4.532, 5.237 Å; angles 90.00, 90.00, 90.00 degrees
Last column: magnetic moment on the atom in μB.
Positions (direct):
Nb 0.500 0.000 0.000  0.24
Nb 0.000 0.000 0.500  0.30
Bi 0.000 0.000 0.000  0.01
Co 0.000 0.500 0.000  -0.04
N 0.500 0.500 0.500  0.08



DFT (PBE) results for TiGe2Sb after structural relaxation.

Properties
Calculated volume   28.228 A^3/atom
Total energy   -4.997 eV/atom
Formation energy from raw total energies   316 meV per atom

Cell lengths 6.101, 6.101, 7.444 Å; angles 65.81, 65.81, 90.00 degrees
Positions (direct):
Sb 0.750 0.250 0.500
Ti 0.250 0.750 0.500
Ge 0.875 0.851 0.750
Ge 0.149 0.625 0.250
Ge 0.375 0.399 0.750
Ti 0.500 0.500 0.000
Ge 0.601 0.125 0.250
Sb 0.000 0.000 0.000



DFT (PBE) results for ScTa2Pb after structural relaxation.

Properties
Calculated volume   22.692 A^3/atom
DFT formation energy   0.86 eV per atom
Total energy   -7.573 eV/atom

Cell lengths 7.999, 7.999, 6.328 Å; angles 50.80, 50.80, 90.00 degrees
Positions (direct):
Ta 0.110 0.625 0.250
Pb 0.000 0.000 0.000
Ta 0.875 0.890 0.750
Ta 0.640 0.125 0.250
Ta 0.375 0.360 0.750
Sc 0.500 0.500 0.000
Pb 0.750 0.250 0.500
Sc 0.250 0.750 0.500



DFT (PBE) results for V4Os2Rh after structural relaxation.

Properties
Calculated volume   17.570 A^3/atom
DFT formation energy   0.97 eV per atom
Total energy   -8.502 eV/atom

Cell lengths 4.457, 4.457, 6.947 Å; angles 71.29, 71.29, 90.00 degrees
Last column: magnetic moment on the atom in μB.
Positions (direct):
V 0.801 0.801 0.399  0.95
V 0.199 0.199 0.601  0.95
V 0.000 0.500 0.000  0.23
Os 0.385 0.385 0.230  -0.18
V 0.500 0.000 0.000  0.23
Rh 0.000 0.000 0.000  -0.03
Os 0.615 0.615 0.770  -0.18